VASP calculation (GGA-PBE) on a relaxed structure of PmYTh2.

The structure in POSCAR format:
```
PmYTh2
1.0
-2.9802 4.0697 1.1772
-2.6969 -2.8760 3.1151
3.1011 1.1794 3.7736
Y Th Pm
1 2 1
Direct
0.5000 0.0000 0.0000
0.0000 0.0000 0.5000
0.0000 0.5000 0.0000
0.5000 0.5000 0.5000
```

Excess energy over the best structure of this formula in the dataset ... 38 meV/atom
Density of states at the Fermi level ... 6.1 states/eV per cell
Spin magnetization ... 0.00 μB per cell